Ti6Mn5Re after structural relaxation. Source: the Alexandria database, functional PBE.

Summary:
Density (g/cm³): 7.52
ΔE_f (meV per atom): -254
Raw total energy (eV/cell): -108.71
DOS(E_F) (states/eV/cell): 13.72

The structure in POSCAR format:
```
Ti6Mn5Re
1.0
4.0957 0.0173 -1.1952
-0.8294 5.3102 -2.7652
-0.0680 0.3966 7.3877
Re Mn Ti
1 5 6
direct
0.0000 0.0000 0.0000 Re
0.6691 0.1691 0.3381 Mn
0.3327 0.3327 0.6653 Mn
0.0000 0.5000 0.0000 Mn
0.6673 0.6673 0.3347 Mn
0.3309 0.8309 0.6619 Mn
0.8316 0.5793 0.6632 Ti
0.8316 0.0839 0.6632 Ti
0.5000 0.7455 0.0000 Ti
0.5000 0.2545 0.0000 Ti
0.1684 0.9161 0.3368 Ti
0.1684 0.4207 0.3368 Ti
```